1.
## Ti3CuNi5 (PBE-GGA)

Data for a relaxed Ti3CuNi5 crystal.

Lattice parameters (Å, degrees): 6.977 6.977 9.907 90.00 90.00 90.00
Space group I4/mcm (No. 140)
Inequivalent atoms, fractional coordinates:
Ti: 0.000 0.000 0.250 [4 per cell]
Ti: 0.119 0.381 0.000 [8 per cell]
Cu: 0.000 0.500 0.250 [4 per cell]
Ni: 0.000 0.000 0.000 [4 per cell]
Ni: 0.204 0.296 0.366 [16 per cell]

Output
The volume comes out at 13.396 A^3/atom. As for the formation energy: -14 meV/atom. The total moment comes out at 0.0 μB/f.u.

=====

2.
## Ti2CuNi6 (PBE-GGA)

Data for a relaxed Ti2CuNi6 crystal.

Lattice parameters (Å, degrees): 4.8928 4.8928 5.4179 90.00 90.00 120.00
Space group P-3m1 (No. 164)
Inequivalent atoms, fractional coordinates:
Ti: 0.3333 0.6667 0.1432 [2 per cell]
Cu: 0.0000 0.0000 0.0000 [1 per cell]
Ni: 0.1743 0.3486 0.6741 [6 per cell]

Output
The volume comes out at 12.481 A^3/atom. As for the formation energy: -159 meV/atom. The total moment comes out at 0.0 μB/f.u. The energy above the lowest structure with this stoichiometry is 0.00 kJ per mole of atoms.

=====

3.
## Ti2CuNi3 (PBE-GGA)

Data for a relaxed Ti2CuNi3 crystal.

Lattice parameters (Å, degrees): 7.270 4.174 5.043 90.00 90.30 90.00
Space group C2/m (No. 12)
Inequivalent atoms, fractional coordinates:
Ti: 0.166 0.000 0.297 [4 per cell]
Cu: 0.000 0.500 0.000 [2 per cell]
Ni: 0.000 0.500 0.500 [2 per cell]
Ni: 0.166 0.000 0.785 [4 per cell]

Output
The volume comes out at 12.751 A^3/atom. As for the formation energy: -333 meV/atom. The total moment comes out at 0.0 μB/f.u. The energy above the lowest structure with this stoichiometry is 0.00 kJ per mole of atoms.

=====

4.
## TiCu5Ni6 (PBE-GGA)

Data for a relaxed TiCu5Ni6 crystal.

Lattice parameters (Å, degrees): 4.305 5.216 6.209 90.00 93.79 90.00
Space group P2/m (No. 10)
Inequivalent atoms, fractional coordinates:
Ti: 0.000 0.000 0.000 [1 per cell]
Cu: 0.000 0.500 0.000 [1 per cell]
Cu: 0.339 0.500 0.669 [2 per cell]
Cu: 0.345 0.000 0.665 [2 per cell]
Ni: 0.158 0.250 0.333 [4 per cell]
Ni: 0.500 0.253 0.000 [2 per cell]

Output
The volume comes out at 11.594 A^3/atom. As for the formation energy: -99 meV/atom. The total moment comes out at 0.0 μB/f.u.

=====

5.
## TiCuNi6 (PBE-GGA)

Data for a relaxed TiCuNi6 crystal.

Lattice parameters (Å, degrees): 7.231 4.717 6.388 90.00 107.61 90.00
Space group C2/m (No. 12)
Inequivalent atoms, fractional coordinates:
Ti: 0.000 0.000 0.000 [2 per cell]
Cu: 0.000 0.500 0.500 [2 per cell]
Ni: 0.142 0.000 0.441 [4 per cell]
Ni: 0.203 0.241 0.801 [8 per cell]

Output
The volume comes out at 12.980 A^3/atom. As for the formation energy: 158 meV/atom. The total moment comes out at 0.0 μB/f.u. The energy above the lowest structure with this stoichiometry is 35.89 kJ per mole of atoms.

=====

6.
## TiCu2Ni8 (PBE-GGA)

Data for a relaxed TiCu2Ni8 crystal.

Lattice parameters (Å, degrees): 7.267 9.537 3.830 90.00 90.00 90.00
Space group Cmmm (No. 65)
Inequivalent atoms, fractional coordinates:
Ti: 0.000 0.000 0.000 [2 per cell]
Cu: 0.000 0.378 0.500 [4 per cell]
Ni: 0.000 0.248 0.000 [4 per cell]
Ni: 0.167 0.500 0.000 [4 per cell]
Ni: 0.169 0.134 0.500 [8 per cell]

Output
The volume comes out at 12.066 A^3/atom. As for the formation energy: 77 meV/atom. The total moment comes out at 2.4 μB/f.u. The energy above the lowest structure with this stoichiometry is 4.13 kJ per mole of atoms.

=====

7.
## TmTiCuNi (PBE-GGA)

Data for a relaxed TmTiCuNi crystal.

Lattice parameters (Å, degrees): 6.431 6.431 6.431 90.00 90.00 90.00
Space group F-43m (No. 216)
Inequivalent atoms, fractional coordinates:
Tm: 0.000 0.000 0.000 [4 per cell]
Ti: 0.000 0.000 0.500 [4 per cell]
Cu: 0.250 0.250 0.250 [4 per cell]
Ni: 0.250 0.250 0.750 [4 per cell]

Output
The volume comes out at 16.623 A^3/atom. As for the formation energy: -173 meV/atom. The total moment comes out at 0.5 μB/f.u.

=====

8.
## TlCu2Ni (PBE-GGA)

Data for a relaxed TlCu2Ni crystal.

Lattice parameters (Å, degrees): 6.140 6.140 6.140 90.00 90.00 90.00
Space group Fm-3m (No. 225)
Inequivalent atoms, fractional coordinates:
Tl: 0.000 0.000 0.000 [4 per cell]
Cu: 0.250 0.250 0.250 [8 per cell]
Ni: 0.000 0.000 0.500 [4 per cell]

Output
The volume comes out at 14.464 A^3/atom. As for the formation energy: 272 meV/atom. The total moment comes out at 0.0 μB/f.u. The energy above the lowest structure with this stoichiometry is 5.68 kJ per mole of atoms.

=====

9.
## TlCu2Ni (PBE-GGA)

Data for a relaxed TlCu2Ni crystal.

Lattice parameters (Å, degrees): 3.954 3.954 7.384 90.00 90.00 90.00
Space group I-4m2 (No. 119)
Inequivalent atoms, fractional coordinates:
Tl: 0.000 0.000 0.000 [2 per cell]
Cu: 0.000 0.000 0.500 [2 per cell]
Cu: 0.000 0.500 0.750 [2 per cell]
Ni: 0.000 0.500 0.250 [2 per cell]

Output
The volume comes out at 14.426 A^3/atom. As for the formation energy: 221 meV/atom. The total moment comes out at 0.0 μB/f.u. The energy above the lowest structure with this stoichiometry is 0.71 kJ per mole of atoms.

=====

10.
## TlCuNi (PBE-GGA)

Data for a relaxed TlCuNi crystal.

Lattice parameters (Å, degrees): 4.2241 4.2241 3.0587 90.00 90.00 120.00
Space group P3m1 (No. 156)
Inequivalent atoms, fractional coordinates:
Tl: 0.0000 0.0000 0.0000 [1 per cell]
Cu: 0.6667 0.3333 0.3995 [1 per cell]
Ni: 0.3333 0.6667 0.5935 [1 per cell]

Output
The volume comes out at 15.755 A^3/atom. As for the formation energy: 346 meV/atom. The total moment comes out at 0.0 μB/f.u. The energy above the lowest structure with this stoichiometry is 5.73 kJ per mole of atoms.

=====

11.
## TlCuNi2 (PBE-GGA)

Data for a relaxed TlCuNi2 crystal.

Lattice parameters (Å, degrees): 3.128 3.128 5.832 90.00 90.00 90.00
Space group P4mm (No. 99)
Inequivalent atoms, fractional coordinates:
Tl: 0.000 0.000 0.000 [1 per cell]
Cu: 0.500 0.500 0.304 [1 per cell]
Ni: 0.000 0.000 0.508 [1 per cell]
Ni: 0.500 0.500 0.724 [1 per cell]

Output
The volume comes out at 14.263 A^3/atom. As for the formation energy: 279 meV/atom. The total moment comes out at 0.0 μB/f.u. The energy above the lowest structure with this stoichiometry is 9.49 kJ per mole of atoms.